{
  "formula": "PmDy2Bi",
  "functional": "PBE",
  "state": "optimized geometry",
  "lattice_angstrom": [[-1.802, 0.960, -4.198], [3.566, -2.158, -2.024], [-4.988, -10.446, 2.350]],
  "species": ["Pm", "Pm", "Dy", "Dy", "Dy", "Dy", "Bi", "Bi"],
  "fractional_positions": [[0.694, 0.750, 0.387], [0.306, 0.250, 0.613], [0.559, 0.250, 0.118], [0.441, 0.750, 0.882], [0.058, 0.750, 0.117], [0.942, 0.250, 0.883], [0.166, 0.250, 0.330], [0.834, 0.750, 0.670]],
  "mass_density_g_cm3": 9.0,
  "de_polymorph_ev_per_atom": 0.000,
  "ef_mev_per_atom": -456.0
}